VASP calculation (PBE) on an optimized crystal structure of Sr2TlSnO6.

POSCAR file:
```
Sr2TlSnO6
1.0
-2.593 4.411 -2.134
-4.626 -1.470 2.582
1.488 2.988 4.368
Sr Tl Sn O
2 1 1 6
Direct
0.026 0.500 0.000 Sr
0.026 0.000 0.500 Sr
0.543 0.500 0.500 Tl
0.576 0.000 0.000 Sn
0.724 0.242 0.242 O
0.724 0.242 0.758 O
0.162 0.500 0.500 O
0.218 0.000 0.000 O
0.724 0.758 0.758 O
0.724 0.758 0.242 O
```

Results
SG: P4mm
E_form (uncorrected): -16.9 eV per formula unit

---

VASP calculation (PBE) on an optimized crystal structure of CoGeSCl2.

POSCAR file:
```
CoGeSCl2
1.0
-1.458 0.902 -4.202
-4.287 -0.624 1.353
-0.316 4.499 1.075
Ge Co S Cl
1 1 1 2
Direct
0.500 0.500 0.500 Ge
0.000 0.000 0.000 Co
0.000 0.000 0.500 S
0.000 0.500 0.000 Cl
0.500 0.000 0.000 Cl
```

Results
SG: P4/mmm
distance to the lowest polymorph of the same formula: 0 meV per atom
E_form (uncorrected): 0.0 eV per formula unit

---

VASP calculation (PBE) on an optimized crystal structure of KNa2Hg.

POSCAR file:
```
KNa2Hg
1.0
-1.327 -1.631 -4.652
-3.402 -3.233 4.907
-6.723 6.517 -0.367
K Na Hg
2 4 2
Direct
0.939 0.878 0.250 K
0.061 0.122 0.750 K
0.348 0.695 0.558 Na
0.652 0.305 0.442 Na
0.348 0.695 0.942 Na
0.652 0.305 0.058 Na
0.775 0.549 0.750 Hg
0.225 0.451 0.250 Hg
```

Results
SG: Cmcm
distance to the lowest polymorph of the same formula: 0 meV per atom

---

VASP calculation (PBE) on an optimized crystal structure of Tb3Pm3Tl2.

POSCAR file:
```
Tb3Pm3Tl2
1.0
-2.207 3.192 -3.072
-0.273 -3.498 -3.439
-8.739 -2.717 3.457
Tb Pm Tl
3 3 2
Direct
0.500 0.000 0.500 Tb
0.000 0.500 0.000 Tb
0.000 0.500 0.500 Tb
0.500 0.500 0.750 Pm
0.500 0.500 0.250 Pm
0.500 0.000 0.000 Pm
0.000 0.000 0.747 Tl
0.000 0.000 0.253 Tl
```

Results
SG: Pmmm
distance to the lowest polymorph of the same formula: 0 meV per atom

---

VASP calculation (PBE) on an optimized crystal structure of BaLiErS3.

POSCAR file:
```
BaLiErS3
1.0
-0.515 1.847 3.591
-8.322 -1.835 -0.250
3.856 -6.898 4.100
Ba Li Er S
2 2 2 6
Direct
0.750 0.803 0.756 Ba
0.250 0.197 0.244 Ba
0.250 0.086 0.592 Li
0.750 0.914 0.408 Li
0.250 0.671 0.159 Er
0.750 0.329 0.841 Er
0.250 0.794 0.472 S
0.750 0.880 0.133 S
0.750 0.453 0.160 S
0.750 0.206 0.528 S
0.250 0.547 0.840 S
0.250 0.120 0.867 S
```

Results
SG: P2_1/m
E_form (uncorrected): -11.6 eV per formula unit

---

VASP calculation (PBE) on an optimized crystal structure of ScIn2Fe.

POSCAR file:
```
ScIn2Fe
1.0
-3.593 2.364 -2.123
-4.400 -0.113 1.904
-1.827 3.932 2.051
Fe In Sc
1 2 1
Direct
0.500 0.500 0.500 Fe
0.000 0.000 0.000 In
0.250 0.250 0.250 In
0.750 0.750 0.750 Sc
```

Results
DFT total energy: -4.97 eV per atom
SG: F-43m

---

VASP calculation (PBE) on an optimized crystal structure of Ac4NdN5.

POSCAR file:
```
Ac4NdN5
1.0
-4.662 -2.425 -2.526
1.243 -4.393 -4.808
-2.234 -5.596 2.767
Ac Nd N
4 1 5
Direct
0.430 0.402 0.804 Ac
0.832 0.804 0.598 Ac
0.234 0.196 0.402 Ac
0.636 0.598 0.196 Ac
0.037 0.000 0.000 Nd
0.880 0.388 0.803 N
0.268 0.803 0.612 N
0.683 0.197 0.388 N
0.071 0.612 0.197 N
0.441 0.000 0.000 N
```

Results
SG: I4
E_form (uncorrected): -11.3 eV per formula unit

---

VASP calculation (PBE) on an optimized crystal structure of Cu6NiPd2.

POSCAR file:
```
Cu6NiPd2
1.0
-3.272 -1.752 -0.308
3.536 -2.368 -1.573
2.156 -5.014 5.609
Cu Ni Pd
6 1 2
Direct
0.006 0.012 0.820 Cu
0.657 0.314 0.289 Cu
0.343 0.686 0.711 Cu
0.670 0.339 0.602 Cu
0.330 0.661 0.398 Cu
0.994 0.988 0.180 Cu
0.000 0.000 0.500 Ni
0.669 0.339 0.933 Pd
0.331 0.661 0.067 Pd
```

Results
SG: C2/m
distance to the lowest polymorph of the same formula: 12 meV per atom

---

VASP calculation (PBE) on an optimized crystal structure of BaCaSiHg.

POSCAR file:
```
BaCaSiHg
1.0
-1.208 2.949 4.543
-4.505 -1.237 2.995
0.551 -2.292 5.024
Ca Si Hg Ba
1 1 1 1
Direct
0.750 0.750 0.750 Ca
0.500 0.500 0.500 Si
0.000 0.000 0.000 Hg
0.250 0.250 0.250 Ba
```

Results
SG: F-43m
E_form (uncorrected): -1.5 eV per formula unit

---

VASP calculation (PBE) on an optimized crystal structure of Ba2CrS4.

POSCAR file:
```
Ba2CrS4
1.0
-0.005 -6.312 2.428
-3.162 -3.062 -7.964
11.554 -1.545 -3.994
Ba Cr S
8 4 16
Direct
0.750 0.521 0.330 Ba
0.250 0.479 0.670 Ba
0.250 0.979 0.830 Ba
0.750 0.021 0.170 Ba
0.750 0.868 0.583 Ba
0.250 0.132 0.417 Ba
0.250 0.632 0.083 Ba
0.750 0.368 0.917 Ba
0.750 0.772 0.926 Cr
0.250 0.228 0.074 Cr
0.250 0.728 0.426 Cr
0.750 0.272 0.574 Cr
0.494 0.671 0.852 S
0.506 0.329 0.148 S
0.506 0.829 0.352 S
0.994 0.329 0.148 S
0.494 0.171 0.648 S
0.006 0.671 0.852 S
0.006 0.171 0.648 S
0.994 0.829 0.352 S
0.750 0.010 0.904 S
0.250 0.990 0.096 S
0.250 0.490 0.404 S
0.750 0.510 0.596 S
0.750 0.189 0.407 S
0.250 0.811 0.593 S
0.250 0.311 0.907 S
0.750 0.689 0.093 S
```

Results
SG: Pnma
E_form (uncorrected): -10.2 eV per formula unit

---

VASP calculation (PBE) on an optimized crystal structure of VInSN2.

POSCAR file:
```
VInSN2
1.0
4.129 0.000 0.000
0.000 4.129 0.000
0.000 0.000 5.292
N S V In
2 1 1 1
Direct
0.000 0.500 0.000 N
0.500 0.000 0.000 N
0.000 0.000 0.500 S
0.500 0.500 0.500 V
0.000 0.000 0.000 In
```

Results
SG: P4/mmm
distance to the lowest polymorph of the same formula: 1282 meV per atom
E_form (uncorrected): 7.1 eV per formula unit

---

VASP calculation (PBE) on an optimized crystal structure of CrGeTe3.

POSCAR file:
```
CrGeTe3
1.0
-3.111 2.536 -3.499
3.116 -1.670 -3.981
-2.994 -4.374 -0.509
Cr Ge Te
1 1 3
Direct
0.500 0.500 0.500 Cr
0.000 0.000 0.000 Ge
0.000 0.500 0.000 Te
0.000 0.000 0.500 Te
0.500 0.000 0.000 Te
```

Results
SG: Pm-3m
E_form (uncorrected): 6.2 eV per formula unit

---

| no. | spin magnetization (μB per formula unit) |
| --- | --- |
| 1 | 1.01 |
| 2 | 1.09 |
| 3 | 0.00 |
| 4 | 1.19 |
| 5 | 0.00 |
| 6 | 1.73 |
| 7 | 0.00 |
| 8 | 0.00 |
| 9 | 0.00 |
| 10 | 2.00 |
| 11 | 0.21 |
| 12 | 0.76 |